# 1
First-principles (GGA-PBE) data for KTeMoN2 after structural relaxation, as listed in the Alexandria database.

Results
The value obtained for the formation energy without anion corrections is 1.00 eV/atom. Its excess energy over the best structure of this formula in the dataset is 0.579 eV per atom. The value obtained for the density is 3.5 g/cm³. For the magnetic moment, the calculation gives 0.253 μB per atom.

Unit cell a=4.082 b=8.369 c=4.082 alpha=90.00 beta=90.00 gamma=90.00
Fractional positions:
Mo 0.000 0.000 0.000
Te 0.500 0.500 0.500
K 0.000 0.500 0.000
N 0.000 0.000 0.500
N 0.500 0.000 0.000



# 2
First-principles (GGA-PBE) data for KTe2MoN after structural relaxation, as listed in the Alexandria database.

Results
The value obtained for the formation energy without anion corrections is 2.02 eV/atom. Its excess energy over the best structure of this formula in the dataset is 2.089 eV per atom. The value obtained for the density is 3.9 g/cm³. For the magnetic moment, the calculation gives 1.215 μB per atom.

Unit cell a=6.046 b=6.046 c=4.662 alpha=90.00 beta=90.00 gamma=90.00
Fractional positions:
Mo 0.500 0.500 0.500
Te 0.000 0.500 0.000
Te 0.500 0.000 0.000
K 0.000 0.000 0.000
N 0.000 0.000 0.500



# 3
First-principles (GGA-PBE) data for KTeMoN2 after structural relaxation, as listed in the Alexandria database.

Results
The value obtained for the formation energy without anion corrections is 2.57 eV/atom. Its excess energy over the best structure of this formula in the dataset is 2.149 eV per atom. The value obtained for the density is 3.0 g/cm³. For the magnetic moment, the calculation gives 1.888 μB per atom.

Unit cell a=4.697 b=4.697 c=7.208 alpha=90.00 beta=90.00 gamma=90.00
Fractional positions:
Mo 0.500 0.500 0.500
Te 0.000 0.000 0.500
K 0.000 0.000 0.000
N 0.000 0.500 0.000
N 0.500 0.000 0.000



# 4
First-principles (GGA-PBE) data for KTeMo2N after structural relaxation, as listed in the Alexandria database.

Results
The value obtained for the formation energy without anion corrections is 0.70 eV/atom. The value obtained for the density is 6.3 g/cm³. For the magnetic moment, the calculation gives 0.000 μB per atom.

Unit cell a=4.158 b=5.660 c=4.158 alpha=90.00 beta=90.00 gamma=90.00
Fractional positions:
Mo 0.000 0.000 0.500
Mo 0.500 0.000 0.000
Te 0.000 0.500 0.000
K 0.500 0.500 0.500
N 0.000 0.000 0.000



Copy entry 3 word for word.
First-principles (GGA-PBE) data for KTeMoN2 after structural relaxation, as listed in the Alexandria database.

Results
The value obtained for the formation energy without anion corrections is 2.57 eV/atom. Its excess energy over the best structure of this formula in the dataset is 2.149 eV per atom. The value obtained for the density is 3.0 g/cm³. For the magnetic moment, the calculation gives 1.888 μB per atom.

Unit cell a=4.697 b=4.697 c=7.208 alpha=90.00 beta=90.00 gamma=90.00
Fractional positions:
Mo 0.500 0.500 0.500
Te 0.000 0.000 0.500
K 0.000 0.000 0.000
N 0.000 0.500 0.000
N 0.500 0.000 0.000



Repeat the second record exactly.
First-principles (GGA-PBE) data for KTe2MoN after structural relaxation, as listed in the Alexandria database.

Results
The value obtained for the formation energy without anion corrections is 2.02 eV/atom. Its excess energy over the best structure of this formula in the dataset is 2.089 eV per atom. The value obtained for the density is 3.9 g/cm³. For the magnetic moment, the calculation gives 1.215 μB per atom.

Unit cell a=6.046 b=6.046 c=4.662 alpha=90.00 beta=90.00 gamma=90.00
Fractional positions:
Mo 0.500 0.500 0.500
Te 0.000 0.500 0.000
Te 0.500 0.000 0.000
K 0.000 0.000 0.000
N 0.000 0.000 0.500